# ScP2Cl, relaxed, DFT PBEsol
# Space group = Cmmm, No. 65
# Energy relative to the lowest polymorph listed for this composition = 217 kJ/mol of formula units
# DFT total energy = -21.679 eV per cell
# Uncorrected formation energy = -143.1 kJ/mol of formula units
data_ScP2Cl
_symmetry_space_group_name_H-M 'P 1'
_symmetry_Int_Tables_number 1
_cell_length_a 3.0883
_cell_length_b 4.7117
_cell_length_c 5.3565
_cell_angle_alpha 116.09
_cell_angle_beta 90.00
_cell_angle_gamma 90.00
loop_
_symmetry_equiv_pos_as_xyz
'x,y,z'
loop_
_atom_site_label
_atom_site_type_symbol
_atom_site_fract_x
_atom_site_fract_y
_atom_site_fract_z
Cl1 Cl 0.5000 0.5000 0.0000
P1 P 0.0000 0.0000 0.5000
P2 P 0.0000 0.5000 0.5000
Sc1 Sc 0.5000 0.0000 0.0000



# CuPtBr2, relaxed, DFT PBEsol
# Space group = I-4m2, No. 119
# Energy relative to the lowest polymorph listed for this composition = 46 kJ/mol of formula units
# DFT total energy = -13.633 eV per cell
# Uncorrected formation energy = 135.6 kJ/mol of formula units
data_CuPtBr2
_symmetry_space_group_name_H-M 'P 1'
_symmetry_Int_Tables_number 1
_cell_length_a 3.5739
_cell_length_b 3.5739
_cell_length_c 7.0044
_cell_angle_alpha 104.78
_cell_angle_beta 104.78
_cell_angle_gamma 90.00
loop_
_symmetry_equiv_pos_as_xyz
'x,y,z'
loop_
_atom_site_label
_atom_site_type_symbol
_atom_site_fract_x
_atom_site_fract_y
_atom_site_fract_z
Pt1 Pt 0.2500 0.7500 0.5000
Cu1 Cu 0.5000 0.5000 0.0000
Br1 Br 0.0000 0.0000 0.0000
Br2 Br 0.7500 0.2500 0.5000



# KHgHW2, relaxed, DFT PBEsol
# Space group = P4/mmm, No. 123
# DFT total energy = -20.216 eV per cell
data_KHgHW2
_symmetry_space_group_name_H-M 'P 1'
_symmetry_Int_Tables_number 1
_cell_length_a 3.1004
_cell_length_b 5.6392
_cell_length_c 5.6392
_cell_angle_alpha 90.00
_cell_angle_beta 90.00
_cell_angle_gamma 90.00
loop_
_symmetry_equiv_pos_as_xyz
'x,y,z'
loop_
_atom_site_label
_atom_site_type_symbol
_atom_site_fract_x
_atom_site_fract_y
_atom_site_fract_z
K1 K 0.5000 0.5000 0.5000
W1 W 0.0000 0.0000 0.5000
W2 W 0.0000 0.5000 0.0000
Hg1 Hg 0.0000 0.0000 0.0000
H1 H 0.5000 0.0000 0.0000



# Ag3AsOs, relaxed, DFT PBEsol
# Space group = Pm-3m, No. 221
# DFT total energy = -19.599 eV per cell
data_Ag3AsOs
_symmetry_space_group_name_H-M 'P 1'
_symmetry_Int_Tables_number 1
_cell_length_a 4.6699
_cell_length_b 4.6699
_cell_length_c 4.6699
_cell_angle_alpha 90.00
_cell_angle_beta 90.00
_cell_angle_gamma 90.00
loop_
_symmetry_equiv_pos_as_xyz
'x,y,z'
loop_
_atom_site_label
_atom_site_type_symbol
_atom_site_fract_x
_atom_site_fract_y
_atom_site_fract_z
Os1 Os 0.5000 0.5000 0.5000
Ag1 Ag 0.5000 0.0000 0.0000
Ag2 Ag 0.0000 0.5000 0.0000
Ag3 Ag 0.0000 0.0000 0.5000
As1 As 0.0000 0.0000 0.0000



# RbAlPdF6, relaxed, DFT PBEsol
# Space group = Pnma, No. 62
# DFT total energy = -184.223 eV per cell
# Uncorrected formation energy = -2259.3 kJ/mol of formula units
data_RbAlPdF6
_symmetry_space_group_name_H-M 'P 1'
_symmetry_Int_Tables_number 1
_cell_length_a 7.1284
_cell_length_b 7.1442
_cell_length_c 10.0882
_cell_angle_alpha 90.00
_cell_angle_beta 90.00
_cell_angle_gamma 90.00
loop_
_symmetry_equiv_pos_as_xyz
'x,y,z'
loop_
_atom_site_label
_atom_site_type_symbol
_atom_site_fract_x
_atom_site_fract_y
_atom_site_fract_z
Pd1 Pd 0.2500 0.2884 0.7656
Pd2 Pd 0.7500 0.2116 0.2656
Pd3 Pd 0.2500 0.7884 0.7344
Pd4 Pd 0.7500 0.7116 0.2344
F1 F 0.0035 0.6275 0.3454
F2 F 0.4965 0.1275 0.1546
F3 F 0.2500 0.5512 0.8624
F4 F 0.9965 0.8725 0.8454
F5 F 0.2500 0.0512 0.6376
F6 F 0.7500 0.4488 0.1376
F7 F 0.7500 0.9488 0.3624
F8 F 0.5035 0.8725 0.8454
F9 F 0.7500 0.5376 0.5155
F10 F 0.4644 0.7178 0.5885
F11 F 0.7500 0.0377 0.9845
F12 F 0.9644 0.7822 0.0885
F13 F 0.5035 0.3725 0.6546
F14 F 0.9965 0.3725 0.6546
F15 F 0.9644 0.2822 0.4115
F16 F 0.4644 0.2178 0.9115
F17 F 0.4965 0.6275 0.3454
F18 F 0.5356 0.7822 0.0885
F19 F 0.0356 0.7178 0.5885
F20 F 0.5356 0.2822 0.4115
F21 F 0.2500 0.9624 0.0155
F22 F 0.0035 0.1275 0.1546
F23 F 0.0356 0.2178 0.9115
F24 F 0.2500 0.4624 0.4845
Rb1 Rb 0.2500 0.4743 0.1296
Rb2 Rb 0.7500 0.5257 0.8704
Rb3 Rb 0.2500 0.9743 0.3704
Rb4 Rb 0.7500 0.0257 0.6296
Al1 Al 0.5000 0.5000 0.5000
Al2 Al 0.5000 0.0000 0.0000
Al3 Al 0.0000 0.0000 0.0000
Al4 Al 0.0000 0.5000 0.5000



# GaNCl2, relaxed, DFT PBEsol
# Space group = Fd-3m, No. 227
# DFT total energy = -25.671 eV per cell
# Uncorrected formation energy = 294.0 kJ/mol of formula units
data_GaNCl2
_symmetry_space_group_name_H-M 'P 1'
_symmetry_Int_Tables_number 1
_cell_length_a 6.2610
_cell_length_b 6.2610
_cell_length_c 6.2610
_cell_angle_alpha 60.00
_cell_angle_beta 60.00
_cell_angle_gamma 60.00
loop_
_symmetry_equiv_pos_as_xyz
'x,y,z'
loop_
_atom_site_label
_atom_site_type_symbol
_atom_site_fract_x
_atom_site_fract_y
_atom_site_fract_z
Cl1 Cl 0.6250 0.6250 0.1250
Cl2 Cl 0.1250 0.6250 0.6250
Cl3 Cl 0.6250 0.6250 0.6250
Cl4 Cl 0.6250 0.1250 0.6250
Ga1 Ga 0.0000 0.0000 0.0000
Ga2 Ga 0.2500 0.2500 0.2500
N1 N 0.7500 0.7500 0.7500
N2 N 0.5000 0.5000 0.5000



# Tl17Sb12, relaxed, DFT PBEsol
# Space group = I-43m, No. 217
# DFT total energy = -97.928 eV per cell
# Uncorrected formation energy = 142.1 kJ/mol of formula units
data_Tl17Sb12
_symmetry_space_group_name_H-M 'P 1'
_symmetry_Int_Tables_number 1
_cell_length_a 10.2863
_cell_length_b 10.2863
_cell_length_c 10.2863
_cell_angle_alpha 109.47
_cell_angle_beta 109.47
_cell_angle_gamma 109.47
loop_
_symmetry_equiv_pos_as_xyz
'x,y,z'
loop_
_atom_site_label
_atom_site_type_symbol
_atom_site_fract_x
_atom_site_fract_y
_atom_site_fract_z
Tl1 Tl 0.3163 0.0000 0.5931
Tl2 Tl 0.3163 0.5931 0.0000
Tl3 Tl 0.6837 0.2768 0.6837
Tl4 Tl 0.5931 0.0000 0.3163
Tl5 Tl 0.6402 0.6402 0.6402
Tl6 Tl 0.4069 0.7232 0.4069
Tl7 Tl 0.0000 0.3598 0.0000
Tl8 Tl 0.4069 0.4069 0.7232
Tl9 Tl 0.0000 0.0000 0.3598
Tl10 Tl 0.2768 0.6837 0.6837
Tl11 Tl 0.7232 0.4069 0.4069
Tl12 Tl 0.0000 0.0000 0.0000
Tl13 Tl 0.3598 0.0000 0.0000
Tl14 Tl 0.0000 0.3163 0.5931
Tl15 Tl 0.5931 0.3163 0.0000
Tl16 Tl 0.6837 0.6837 0.2768
Tl17 Tl 0.0000 0.5931 0.3163
Sb1 Sb 0.8141 0.0000 0.6298
Sb2 Sb 0.8157 0.1859 0.1859
Sb3 Sb 0.6298 0.8141 0.0000
Sb4 Sb 0.3702 0.3702 0.1843
Sb5 Sb 0.0000 0.8141 0.6298
Sb6 Sb 0.0000 0.6298 0.8141
Sb7 Sb 0.3702 0.1843 0.3702
Sb8 Sb 0.6298 0.0000 0.8141
Sb9 Sb 0.1859 0.8157 0.1859
Sb10 Sb 0.1843 0.3702 0.3702
Sb11 Sb 0.1859 0.1859 0.8157
Sb12 Sb 0.8141 0.6298 0.0000



# MnCoW2, relaxed, DFT PBEsol
# Space group = Cmmm, No. 65
# Energy relative to the lowest polymorph listed for this composition = 0 kJ/mol of formula units
# DFT total energy = -44.552 eV per cell
data_MnCoW2
_symmetry_space_group_name_H-M 'P 1'
_symmetry_Int_Tables_number 1
_cell_length_a 2.6390
_cell_length_b 2.6390
_cell_length_c 7.6530
_cell_angle_alpha 90.00
_cell_angle_beta 90.00
_cell_angle_gamma 99.95
loop_
_symmetry_equiv_pos_as_xyz
'x,y,z'
loop_
_atom_site_label
_atom_site_type_symbol
_atom_site_fract_x
_atom_site_fract_y
_atom_site_fract_z
W1 W 0.0000 0.0000 0.7430
W2 W 0.0000 0.0000 0.2570
Co1 Co 0.5000 0.5000 0.5000
Mn1 Mn 0.5000 0.5000 0.0000



# SrY2Pb, relaxed, DFT PBEsol
# Space group = F-43m, No. 216
# DFT total energy = -19.626 eV per cell
data_SrY2Pb
_symmetry_space_group_name_H-M 'P 1'
_symmetry_Int_Tables_number 1
_cell_length_a 5.5867
_cell_length_b 5.5867
_cell_length_c 5.5867
_cell_angle_alpha 60.00
_cell_angle_beta 60.00
_cell_angle_gamma 60.00
loop_
_symmetry_equiv_pos_as_xyz
'x,y,z'
loop_
_atom_site_label
_atom_site_type_symbol
_atom_site_fract_x
_atom_site_fract_y
_atom_site_fract_z
Sr1 Sr 0.7500 0.7500 0.7500
Y1 Y 0.0000 0.0000 0.0000
Y2 Y 0.2500 0.2500 0.2500
Pb1 Pb 0.5000 0.5000 0.5000



# CrIr, relaxed, DFT PBEsol
# Space group = C2/m, No. 12
# DFT total energy = -40.797 eV per cell
data_CrIr
_symmetry_space_group_name_H-M 'P 1'
_symmetry_Int_Tables_number 1
_cell_length_a 2.6500
_cell_length_b 4.5608
_cell_length_c 4.9474
_cell_angle_alpha 117.03
_cell_angle_beta 105.53
_cell_angle_gamma 90.00
loop_
_symmetry_equiv_pos_as_xyz
'x,y,z'
loop_
_atom_site_label
_atom_site_type_symbol
_atom_site_fract_x
_atom_site_fract_y
_atom_site_fract_z
Ir1 Ir 0.3786 0.2075 0.7571
Ir2 Ir 0.6214 0.7925 0.2429
Cr1 Cr 0.1270 0.2915 0.2541
Cr2 Cr 0.8730 0.7085 0.7459



# SrMo3As, relaxed, DFT PBEsol
# Space group = Pm-3m, No. 221
# DFT total energy = -26.780 eV per cell
data_SrMo3As
_symmetry_space_group_name_H-M 'P 1'
_symmetry_Int_Tables_number 1
_cell_length_a 4.7076
_cell_length_b 4.7076
_cell_length_c 4.7076
_cell_angle_alpha 90.00
_cell_angle_beta 90.00
_cell_angle_gamma 90.00
loop_
_symmetry_equiv_pos_as_xyz
'x,y,z'
loop_
_atom_site_label
_atom_site_type_symbol
_atom_site_fract_x
_atom_site_fract_y
_atom_site_fract_z
Sr1 Sr 0.0000 0.0000 0.0000
Mo1 Mo 0.0000 0.0000 0.5000
Mo2 Mo 0.0000 0.5000 0.0000
Mo3 Mo 0.5000 0.0000 0.0000
As1 As 0.5000 0.5000 0.5000



# SiTeBr2, relaxed, DFT PBEsol
# Space group = P4/mmm, No. 123
# Energy relative to the lowest polymorph listed for this composition = 217 kJ/mol of formula units
# DFT total energy = -11.299 eV per cell
# Uncorrected formation energy = 165.4 kJ/mol of formula units
data_SiTeBr2
_symmetry_space_group_name_H-M 'P 1'
_symmetry_Int_Tables_number 1
_cell_length_a 4.3933
_cell_length_b 4.6191
_cell_length_c 4.6191
_cell_angle_alpha 90.00
_cell_angle_beta 90.00
_cell_angle_gamma 90.00
loop_
_symmetry_equiv_pos_as_xyz
'x,y,z'
loop_
_atom_site_label
_atom_site_type_symbol
_atom_site_fract_x
_atom_site_fract_y
_atom_site_fract_z
Br1 Br 0.0000 0.0000 0.5000
Br2 Br 0.0000 0.5000 0.0000
Si1 Si 0.5000 0.5000 0.5000
Te1 Te 0.5000 0.0000 0.0000



> What is the DFT total energy in the fourth record?

-19.599 eV per cell